No. 1
The following is a DFT calculation (PBE) of an optimized crystal structure of AlCo2Ru.

a = 3.6636 Å, b = 3.6636 Å, c = 7.1894 Å
α = 90.00°, β = 90.00°, γ = 90.00°
Last column: nearest neighbours and their distance in Å.
Sites, in units of the cell vectors:
Al1 0.0000 0.0000 0.0000  8 Co 2.57-2.59, 4 Ru 2.57
Al2 0.5000 0.5000 0.5000  8 Co 2.57-2.59, 4 Ru 2.57
Co1 0.0000 0.0000 0.5000  4 Co 2.57, 4 Ru 2.57, 4 Al 2.59
Co2 0.0000 0.5000 0.7500  4 Co 2.57, 4 Al 2.57, 4 Ru 2.59
Co3 0.5000 0.0000 0.2500  4 Co 2.57, 4 Al 2.57, 4 Ru 2.59
Co4 0.5000 0.5000 0.0000  4 Co 2.57, 4 Ru 2.57, 4 Al 2.59
Ru1 0.0000 0.5000 0.2500  8 Co 2.57-2.59, 4 Al 2.57
Ru2 0.5000 0.0000 0.7500  8 Co 2.57-2.59, 4 Al 2.57

## Properties
- Spin magnetization: 0.00 μB per formula unit
- Crystal system: tetragonal
- E_tot: -55.743 eV per cell
- E_form: -160.4 meV/atom

***

No. 2
The following is a DFT calculation (PBE) of an optimized crystal structure of Al3Co2Ru.

a = 2.9222 Å, b = 2.9222 Å, c = 8.6756 Å
α = 90.00°, β = 90.00°, γ = 90.00°
Last column: nearest neighbours and their distance in Å.
Sites, in units of the cell vectors:
Al1 0.0000 0.0000 0.0000  8 Co 2.49
Al2 0.0000 0.0000 0.3271  4 Co 2.53, 4 Ru 2.55
Al3 0.0000 0.0000 0.6729  4 Co 2.53, 4 Ru 2.55
Co1 0.5000 0.5000 0.1598  8 Al 2.49-2.53, 1 Co 2.77
Co2 0.5000 0.5000 0.8402  8 Al 2.49-2.53, 1 Co 2.77
Ru1 0.5000 0.5000 0.5000  8 Al 2.55

## Properties
- Spin magnetization: 0.00 μB per formula unit
- Crystal system: tetragonal
- E_tot: -38.433 eV per cell
- E_form: -619.7 meV/atom

***

No. 3
The following is a DFT calculation (PBE) of an optimized crystal structure of AlCoRu2.

a = 2.7044 Å, b = 4.1717 Å, c = 4.8512 Å
α = 90.00°, β = 97.11°, γ = 90.00°
Last column: nearest neighbours and their distance in Å.
Sites, in units of the cell vectors:
Al1 0.0000 0.0000 0.0000  4 Ru 2.57, 2 Co 2.63, 2 Al 2.70
Co1 0.5000 0.0000 0.5000  4 Ru 2.52, 2 Al 2.63, 2 Co 2.70
Ru1 0.2679 0.5000 0.7449  2 Co 2.52, 2 Al 2.57, 4 Ru 2.63-2.70
Ru2 0.7321 0.5000 0.2551  2 Co 2.52, 2 Al 2.57, 4 Ru 2.63-2.70

## Properties
- Spin magnetization: 3.18 μB per formula unit
- Crystal system: monoclinic
- E_tot: -29.365 eV per cell
- E_form: 8.8 meV/atom

***

No. 4
The following is a DFT calculation (PBE) of an optimized crystal structure of AlCo2Ru2.

a = 6.8667 Å, b = 6.8667 Å, c = 2.7699 Å
α = 90.00°, β = 90.00°, γ = 90.00°
Last column: nearest neighbours and their distance in Å.
Sites, in units of the cell vectors:
Al1 0.0000 0.0000 0.0000  4 Co 2.74, 2 Al 2.77, 8 Ru 2.88
Al2 0.5000 0.5000 0.0000  4 Co 2.74, 2 Al 2.77, 8 Ru 2.88
Co1 0.1181 0.3819 0.0000  1 Co 2.29, 6 Ru 2.41-2.50
Co2 0.3819 0.8819 0.0000  1 Co 2.29, 6 Ru 2.41-2.50
Co3 0.6181 0.1181 0.0000  1 Co 2.29, 6 Ru 2.41-2.50
Co4 0.8819 0.6181 0.0000  1 Co 2.29, 6 Ru 2.41-2.50
Ru1 0.1782 0.6782 0.5000  6 Co 2.41-2.50
Ru2 0.3218 0.1782 0.5000  6 Co 2.41-2.50
Ru3 0.6782 0.8218 0.5000  6 Co 2.41-2.50
Ru4 0.8218 0.3218 0.5000  6 Co 2.41-2.50

## Properties
- Spin magnetization: 0.00 μB per formula unit
- Crystal system: tetragonal
- E_tot: -71.790 eV per cell
- E_form: 122.2 meV/atom